Computed, not measured: a geometry-optimized TbPr4Y2Sc structure at the GGA-PBE level of DFT.

The calculation puts the density of states at the Fermi level at 10.65 states/eV/f.u. Its energy of formation is 2.76 kJ per mole of atoms.

It has space group P4/mmm (No. 123), with a = 5.147 Å, b = 5.147 Å, c = 9.975 Å, α = 90.00°, β = 90.00° and γ = 90.00°. The distinct sites, in fractional coordinates, are Tb at (0.000, 0.000, 0.000), Pr at (0.000, 0.500, 0.255), Y at (0.000, 0.000, 0.500), Y at (0.500, 0.500, 0.000) and Sc at (0.500, 0.500, 0.500).

Computed, not measured: a geometry-optimized TbPuPaPb structure at the GGA-PBE level of DFT.

The calculation puts the density of states at the Fermi level at 6.08 states/eV/f.u. Its energy of formation is 11.54 kJ per mole of atoms.

It has space group F-43m (No. 216), with a = 7.525 Å, b = 7.525 Å, c = 7.525 Å, α = 90.00°, β = 90.00° and γ = 90.00°. The distinct sites, in fractional coordinates, are Tb at (0.000, 0.000, 0.000), Pu at (0.000, 0.000, 0.500), Pa at (0.250, 0.250, 0.250) and Pb at (0.250, 0.250, 0.750).

Computed, not measured: a geometry-optimized MoAs2W structure at the GGA-PBE level of DFT.

Its offset from the most stable computed form is 145 meV per atom. The calculation puts the density of states at the Fermi level at 4.26 states/eV/f.u. Its energy of formation is 11.70 kJ per mole of atoms.

It has space group P4/mmm (No. 123), with a = 4.430 Å, b = 4.430 Å, c = 3.123 Å, α = 90.00°, β = 90.00° and γ = 90.00°. The distinct sites, in fractional coordinates, are Mo at (0.000, 0.000, 0.000), As at (0.000, 0.500, 0.500) and W at (0.500, 0.500, 0.000).

Computed, not measured: a geometry-optimized Sc2VCoH structure at the GGA-PBE level of DFT.

The value obtained for the total energy is -5.89 eV/atom. The calculation puts the density of states at the Fermi level at 4.35 states/eV/f.u.

It has space group P4/mmm (No. 123), with a = 4.938 Å, b = 4.938 Å, c = 3.187 Å, α = 90.00°, β = 90.00° and γ = 90.00°. The distinct sites, in fractional coordinates, are Sc at (0.000, 0.500, 0.000), V at (0.000, 0.000, 0.000), Co at (0.500, 0.500, 0.500) and H at (0.000, 0.000, 0.500).

Computed, not measured: a geometry-optimized ZrAlAu structure at the GGA-PBE level of DFT.

The calculation puts the density of states at the Fermi level at 1.30 states/eV/f.u. Its energy of formation is -52.96 kJ per mole of atoms.

It has space group Pmma (No. 51), with a = 4.648 Å, b = 3.124 Å, c = 7.723 Å, α = 90.00°, β = 90.00° and γ = 90.00°. The distinct sites, in fractional coordinates, are Zr at (0.250, 0.000, 0.248), Al at (0.250, 0.500, 0.923) and Au at (0.250, 0.500, 0.596).

Computed, not measured: a geometry-optimized CsAl2TlBr8 structure at the GGA-PBE level of DFT.

The value obtained for the total energy is -3.27 eV/atom. The calculation puts the density of states at the Fermi level at 0.00 states/eV/f.u.

It has space group R-3 (No. 148, hexagonal axes), with a = 7.2273 Å, b = 7.2273 Å, c = 31.5787 Å, α = 90.00°, β = 90.00° and γ = 120.00°. The distinct sites, in fractional coordinates, are Cs at (0.0000, 0.0000, 0.0000), Al at (0.0000, 0.0000, 0.2544), Tl at (0.0000, 0.0000, 0.5000), Br at (0.0000, 0.0000, 0.3277) and Br at (0.0086, 0.6228, 0.4367).

Computed, not measured: a geometry-optimized Rb2LiAuF6 structure at the GGA-PBE level of DFT.

The value obtained for the total energy is -3.98 eV/atom.

It has space group I4/mmm (No. 139), with a = 5.965 Å, b = 5.965 Å, c = 9.352 Å, α = 90.00°, β = 90.00° and γ = 90.00°. The distinct sites, in fractional coordinates, are Rb at (0.000, 0.500, 0.250), Li at (0.000, 0.000, 0.000), Au at (0.000, 0.000, 0.500), F at (0.000, 0.000, 0.202) and F at (0.234, 0.234, 0.500).

Computed, not measured: a geometry-optimized TaOsC structure at the GGA-PBE level of DFT.

The calculation puts the density of states at the Fermi level at 1.61 states/eV/f.u. Its energy of formation is 44.88 kJ per mole of atoms.

It has space group C2/m (No. 12), with a = 5.868 Å, b = 4.562 Å, c = 6.293 Å, α = 90.00°, β = 101.15° and γ = 90.00°. The distinct sites, in fractional coordinates, are Ta at (0.218, 0.000, 0.161), Os at (0.198, 0.000, 0.590) and C at (0.092, 0.500, 0.100).

Computed, not measured: a geometry-optimized MnTeBr structure at the GGA-PBE level of DFT.

The value obtained for the total energy is -4.90 eV/atom. The calculation puts the density of states at the Fermi level at 0.70 states/eV/f.u.

It has space group Fmm2 (No. 42), with a = 3.635 Å, b = 6.931 Å, c = 15.192 Å, α = 90.00°, β = 90.00° and γ = 90.00°. The distinct sites, in fractional coordinates, are Mn at (0.000, 0.000, 0.000), Te at (0.000, 0.000, 0.375) and Br at (0.000, 0.000, 0.616).

Computed, not measured: a geometry-optimized Tm2Al2SnRh5 structure at the GGA-PBE level of DFT.

The calculation puts the density of states at the Fermi level at 2.78 states/eV/f.u. Its energy of formation is -87.79 kJ per mole of atoms.

It has space group P4/mbm (No. 127), with a = 9.838 Å, b = 9.838 Å, c = 3.520 Å, α = 90.00°, β = 90.00° and γ = 90.00°. The distinct sites, in fractional coordinates, are Tm at (0.175, 0.325, 0.000), Al at (0.122, 0.622, 0.000), Sn at (0.000, 0.000, 0.000), Rh at (0.000, 0.500, 0.500) and Rh at (0.070, 0.792, 0.500).

Computed, not measured: a geometry-optimized Re3Au structure at the GGA-PBE level of DFT.

The calculation puts the density of states at the Fermi level at 3.51 states/eV/f.u. Its energy of formation is 62.82 kJ per mole of atoms.

It has space group R-3m (No. 166, hexagonal axes), with a = 9.0072 Å, b = 9.0072 Å, c = 2.6848 Å, α = 90.00°, β = 90.00° and γ = 120.00°. The distinct sites, in fractional coordinates, are Re at (0.0000, 0.5000, 0.0000) and Au at (0.0000, 0.0000, 0.0000).

Computed, not measured: a geometry-optimized Zr2TiAg2 structure at the GGA-PBE level of DFT.

Its offset from the most stable computed form is 0 meV per atom. The calculation puts the density of states at the Fermi level at 2.78 states/eV/f.u. Its energy of formation is -0.76 kJ per mole of atoms.

It has space group Cmmm (No. 65), with a = 3.066 Å, b = 21.898 Å, c = 3.047 Å, α = 90.00°, β = 90.00° and γ = 90.00°. The distinct sites, in fractional coordinates, are Zr at (0.000, 0.095, 0.000), Ti at (0.000, 0.500, 0.500) and Ag at (0.000, 0.305, 0.500).

Computed, not measured: a geometry-optimized SmZnInCo structure at the GGA-PBE level of DFT.

The calculation puts the density of states at the Fermi level at 2.24 states/eV/f.u. Its energy of formation is -12.71 kJ per mole of atoms.

It has space group F-43m (No. 216), with a = 6.757 Å, b = 6.757 Å, c = 6.757 Å, α = 90.00°, β = 90.00° and γ = 90.00°. The distinct sites, in fractional coordinates, are Sm at (0.000, 0.000, 0.000), Zn at (0.250, 0.250, 0.250), In at (0.000, 0.000, 0.500) and Co at (0.250, 0.250, 0.750).

Computed, not measured: a geometry-optimized BiOs3S structure at the GGA-PBE level of DFT.

Its offset from the most stable computed form is 0 meV per atom. The calculation puts the density of states at the Fermi level at 4.34 states/eV/f.u.

It has space group Pm-3m (No. 221), with a = 4.471 Å, b = 4.471 Å, c = 4.471 Å, α = 90.00°, β = 90.00° and γ = 90.00°. The distinct sites, in fractional coordinates, are Bi at (0.000, 0.000, 0.000), Os at (0.000, 0.500, 0.500) and S at (0.500, 0.500, 0.500).

Computed, not measured: a geometry-optimized LaPrIrRh structure at the GGA-PBE level of DFT.

Its offset from the most stable computed form is 73 meV per atom. The calculation puts the density of states at the Fermi level at 2.93 states/eV/f.u. Its energy of formation is -57.69 kJ per mole of atoms.

It has space group F-43m (No. 216), with a = 7.169 Å, b = 7.169 Å, c = 7.169 Å, α = 90.00°, β = 90.00° and γ = 90.00°. The distinct sites, in fractional coordinates, are La at (0.000, 0.000, 0.000), Pr at (0.000, 0.000, 0.500), Ir at (0.250, 0.250, 0.250) and Rh at (0.250, 0.250, 0.750).

Computed, not measured: a geometry-optimized SrSc2Mn structure at the GGA-PBE level of DFT.

Its offset from the most stable computed form is 73 meV per atom. The calculation puts the density of states at the Fermi level at 6.20 states/eV/f.u. Its energy of formation is 26.61 kJ per mole of atoms.

It has space group P4mm (No. 99), with a = 3.677 Å, b = 3.677 Å, c = 7.989 Å, α = 90.00°, β = 90.00° and γ = 90.00°. The distinct sites, in fractional coordinates, are Sr at (0.000, 0.000, 0.000), Sc at (0.000, 0.000, 0.426), Sc at (0.500, 0.500, 0.651) and Mn at (0.500, 0.500, 0.291).

Computed, not measured: a geometry-optimized PuInTeCl structure at the GGA-PBE level of DFT.

The value obtained for the total energy is -6.28 eV/atom. The calculation puts the density of states at the Fermi level at 10.34 states/eV/f.u.

It has space group F-43m (No. 216), with a = 7.664 Å, b = 7.664 Å, c = 7.664 Å, α = 90.00°, β = 90.00° and γ = 90.00°. The distinct sites, in fractional coordinates, are Pu at (0.000, 0.000, 0.000), In at (0.000, 0.000, 0.500), Te at (0.250, 0.250, 0.750) and Cl at (0.250, 0.250, 0.250).

Computed, not measured: a geometry-optimized RbLi2NpBr8 structure at the GGA-PBE level of DFT.

The value obtained for the total energy is -3.89 eV/atom. The calculation puts the density of states at the Fermi level at 8.71 states/eV/f.u.

It has space group P-1 (No. 2), with a = 6.807 Å, b = 6.867 Å, c = 9.955 Å, α = 89.48°, β = 89.42° and γ = 75.94°. The distinct sites, in fractional coordinates, are Rb at (0.000, 0.000, 0.000), Li at (0.499, 0.500, 0.155), Np at (0.000, 0.000, 0.500), Br at (0.233, 0.255, 0.501), Br at (0.235, 0.777, 0.694), Br at (0.240, 0.783, 0.305) and Br at (0.320, 0.326, 0.002).

Computed, not measured: a geometry-optimized GeSb2PtN structure at the GGA-PBE level of DFT.

The value obtained for the total energy is -4.94 eV/atom. The calculation puts the density of states at the Fermi level at 2.23 states/eV/f.u.

It has space group P4/mmm (No. 123), with a = 4.757 Å, b = 4.757 Å, c = 4.089 Å, α = 90.00°, β = 90.00° and γ = 90.00°. The distinct sites, in fractional coordinates, are Ge at (0.000, 0.000, 0.000), Sb at (0.000, 0.500, 0.500), Pt at (0.500, 0.500, 0.000) and N at (0.000, 0.000, 0.500).

Computed, not measured: a geometry-optimized CaGe2F8 structure at the GGA-PBE level of DFT.

The value obtained for the total energy is -5.09 eV/atom. The calculation puts the density of states at the Fermi level at 0.00 states/eV/f.u.

It has space group C2/m (No. 12), with a = 8.839 Å, b = 7.317 Å, c = 5.038 Å, α = 90.00°, β = 99.21° and γ = 90.00°. The distinct sites, in fractional coordinates, are Ca at (0.000, 0.000, 0.000), Ge at (0.078, 0.500, 0.232), F at (0.081, 0.246, 0.262), F at (0.132, 0.500, 0.607) and F at (0.222, 0.000, 0.819).